[1]
A geometry-optimized NbZnAg2 structure, computed with GGA-PBE.

Output
total magnetic moment	0.1	μB/f.u.
calculated formation energy	1.0	eV per formula unit
space-group type	F-43m, No. 216

a b c (Å): 4.5796 4.5796 4.5796
angles (deg): 60.00 60.00 60.00
Fractional coordinates of all 4 atoms:
Ag (0.0000, 0.0000, 0.0000)
Ag (0.7500, 0.7500, 0.7500)
Nb (0.2500, 0.2500, 0.2500)
Zn (0.5000, 0.5000, 0.5000)

[2]
A geometry-optimized NbZnAg structure, computed with GGA-PBE.

Output
total magnetic moment	0.0	μB/f.u.
relative energy among the computed polymorphs	0.2311	eV/atom
calculated formation energy	2.4	eV per formula unit
space-group type	F-43m, No. 216

a b c (Å): 4.4179 4.4179 4.4179
angles (deg): 60.00 60.00 60.00
Fractional coordinates of all 3 atoms:
Ag (0.2500, 0.2500, 0.2500)
Nb (0.0000, 0.0000, 0.0000)
Zn (0.7500, 0.7500, 0.7500)

[3]
A geometry-optimized NbZnAg structure, computed with GGA-PBE.

Output
total magnetic moment	0.0	μB/f.u.
relative energy among the computed polymorphs	0.0000	eV/atom
calculated formation energy	1.7	eV per formula unit
space-group type	F-43m, No. 216

a b c (Å): 4.3314 4.3314 4.3314
angles (deg): 60.00 60.00 60.00
Fractional coordinates of all 3 atoms:
Ag (0.0000, 0.0000, 0.0000)
Nb (0.2500, 0.2500, 0.2500)
Zn (0.7500, 0.7500, 0.7500)